{"formula": "CaOs2Pt", "functional": "GGA-PBE", "state": "optimized geometry", "formation_energy_mev_per_atom": 210.5, "m_tot_mub_per_cell": 0.00, "dos_at_fermi_per_ev_fu": 3.29, "sg": "C2/m, No. 12", "polymorph_energy_ev_per_atom": 0.138, "final_energy_ev_per_atom": -7.41, "lattice_angstrom": [[5.7476, -1.3986, 0.0000], [5.7476, 1.3986, 0.0000], [-1.8139, 0.0000, 4.2742]], "species": ["Ca", "Os", "Os", "Pt"], "frac_coords": [[0.0000, 0.0000, 0.0000], [0.2208, 0.2208, 0.7374], [0.7792, 0.7792, 0.2626], [0.5000, 0.5000, 0.5000]]}